The following is a PBE calculation of a relaxed structure of NaTiSnTe2, from Alexandria via LeMat-Bulk.

The value obtained for the theoretical density is 4.65 g/cm³. As for the space group: No. 123. The density of states at the Fermi level is 3.03 states/eV/cell. As for the uncorrected formation energy: 0.13 eV per atom. The calculation puts the magnetization at 1.16 μB per cell. The raw total energy is -3.767 eV/atom.

Cell: 5.3411 5.5717 5.3411 Å, 90.00 90.00 90.00°
Each line ends with the local moment (μB).
Atoms (fractional coordinates):
1 Sn 0.5000 0.5000 0.5000  -0.12
2 Te 0.5000 0.0000 0.0000  -0.07
3 Te 0.0000 0.0000 0.5000  -0.05
4 Ti 0.0000 0.0000 0.0000  1.16
5 Na 0.0000 0.5000 0.0000  0.04